First-principles (GGA-PBE) data for a relaxed Ni3RuBr crystal, as listed in Alexandria.

Output
The value obtained for the uncorrected formation energy is 1.2189 eV/atom. As for the space group: No. 221. The energy above the most stable polymorph in this dataset is 0 meV/atom. As for the total energy: -4.4397 eV/atom.

abc: 4.3037 4.3037 4.3037
angles: 90.00 90.00 90.00
Site moments in Bohr magnetons follow the coordinates.
Element x y z (fractional)
Ni (0.0000, 0.5000, 0.0000)  0.21
Ni (0.5000, 0.0000, 0.0000)  0.41
Ni (0.0000, 0.0000, 0.5000)  0.15
Ru (0.5000, 0.5000, 0.5000)  2.10
Br (0.0000, 0.0000, 0.0000)  0.01

---

First-principles (GGA-PBE) data for a relaxed NiRu2Br crystal, as listed in Alexandria.

Output
The value obtained for the uncorrected formation energy is 0.9295 eV/atom. As for the space group: No. 122. The energy above the most stable polymorph in this dataset is 418 meV/atom. As for the total energy: -5.5720 eV/atom.

abc: 3.6673 3.6673 9.7268
angles: 79.13 79.13 90.00
Element x y z (fractional)
Ru (0.8750, 0.8440, 0.7500)
Ru (0.5940, 0.1250, 0.2500)
Ru (0.1560, 0.6250, 0.2500)
Ru (0.3750, 0.4060, 0.7500)
Br (0.0000, 0.0000, 0.0000)
Br (0.7500, 0.2500, 0.5000)
Ni (0.2500, 0.7500, 0.5000)
Ni (0.5000, 0.5000, 0.0000)

---

First-principles (GGA-PBE) data for a relaxed Ni4RuBr crystal, as listed in Alexandria.

Output
The value obtained for the uncorrected formation energy is 0.6149 eV/atom. As for the space group: No. 216. As for the total energy: -5.0641 eV/atom.

abc: 4.8411 4.8411 4.8411
angles: 60.00 60.00 60.00
Site moments in Bohr magnetons follow the coordinates.
Element x y z (fractional)
Ni (0.3757, 0.8728, 0.3757)  0.74
Ni (0.3757, 0.3757, 0.8728)  0.74
Ni (0.3757, 0.3757, 0.3757)  0.74
Ni (0.8728, 0.3757, 0.3757)  0.74
Ru (0.7500, 0.7500, 0.7500)  1.79
Br (0.0000, 0.0000, 0.0000)  0.07

---

First-principles (GGA-PBE) data for a relaxed NiRu2Br crystal, as listed in Alexandria.

Output
The value obtained for the uncorrected formation energy is 0.9202 eV/atom. As for the space group: No. 65. The energy above the most stable polymorph in this dataset is 409 meV/atom. As for the total energy: -5.5812 eV/atom.

abc: 2.8193 2.8193 8.8915
angles: 90.00 90.00 119.45
Site moments in Bohr magnetons follow the coordinates.
Element x y z (fractional)
Ru (0.0000, 0.0000, 0.5191)  0.84
Ru (0.0000, 0.0000, 0.9809)  0.84
Ni (0.5000, 0.5000, 0.7500)  0.68
Br (0.5000, 0.5000, 0.2500)  0.01